{
  "formula": "TlVSn2Cl8",
  "functional": "GGA-PBE",
  "state": "relaxed",
  "sg": "No. 2",
  "lattice_angstrom": [[-2.891, 6.589, 0.541], [-2.770, -0.555, -5.529], [-6.321, -1.488, 5.507]],
  "species": ["Cl", "Cl", "Cl", "Cl", "Cl", "Cl", "Cl", "Cl", "V", "Sn", "Sn", "Tl"],
  "fractional_positions": [[0.617, 0.740, 0.521], [0.811, 0.202, 0.879], [0.383, 0.260, 0.479], [0.189, 0.798, 0.121], [0.937, 0.309, 0.247], [0.063, 0.691, 0.753], [0.720, 0.840, 0.109], [0.280, 0.160, 0.891], [0.000, 0.000, 0.000], [0.398, 0.522, 0.763], [0.602, 0.478, 0.237], [0.000, 0.000, 0.500]]
}

---

{
  "formula": "TlVSnCl6",
  "functional": "GGA-PBE",
  "state": "relaxed",
  "sg": "No. 149",
  "lattice_angstrom": [[-1.410, 6.296, 2.517], [-3.592, 4.529, -3.814], [-5.777, -2.353, 2.647]],
  "species": ["Cl", "Cl", "Cl", "Cl", "Cl", "Cl", "Sn", "Tl", "V"],
  "fractional_positions": [[0.347, 0.044, 0.706], [0.044, 0.609, 0.706], [0.609, 0.044, 0.294], [0.347, 0.609, 0.294], [0.609, 0.347, 0.706], [0.044, 0.347, 0.294], [0.667, 0.667, 0.500], [0.000, 0.000, 0.000], [0.333, 0.333, 0.500]]
}

---

{
  "formula": "YTlSnCl6",
  "functional": "GGA-PBE",
  "state": "relaxed",
  "sg": "No. 163",
  "lattice_angstrom": [[7.271, 0.000, 0.000], [-3.635, 6.297, 0.000], [0.000, 0.000, 13.631]],
  "species": ["Cl", "Cl", "Cl", "Cl", "Cl", "Cl", "Cl", "Cl", "Cl", "Cl", "Cl", "Cl", "Sn", "Sn", "Tl", "Tl", "Y", "Y"],
  "fractional_positions": [[0.979, 0.357, 0.139], [0.021, 0.643, 0.861], [0.357, 0.979, 0.639], [0.643, 0.021, 0.361], [0.378, 0.021, 0.139], [0.622, 0.979, 0.861], [0.622, 0.643, 0.639], [0.979, 0.622, 0.361], [0.643, 0.622, 0.139], [0.021, 0.378, 0.639], [0.378, 0.357, 0.361], [0.357, 0.378, 0.861], [0.667, 0.333, 0.750], [0.333, 0.667, 0.250], [0.000, 0.000, 0.500], [0.000, 0.000, 0.000], [0.333, 0.667, 0.750], [0.667, 0.333, 0.250]]
}

---

{
  "formula": "Tl2ZnSnCl6",
  "functional": "GGA-PBE",
  "state": "relaxed",
  "sg": "No. 1",
  "lattice_angstrom": [[8.078, 0.140, 0.512], [4.145, 6.817, -0.928], [4.516, 1.060, 6.394]],
  "species": ["Cl", "Cl", "Cl", "Cl", "Cl", "Cl", "Tl", "Tl", "Zn", "Sn"],
  "fractional_positions": [[0.253, 0.929, 0.321], [0.446, 0.760, 0.761], [0.973, 0.582, 0.765], [0.036, 0.458, 0.281], [0.603, 0.151, 0.242], [0.591, 0.150, 0.779], [0.522, 0.512, 0.448], [0.031, 0.152, 0.745], [0.377, 0.168, 0.149], [0.829, 0.799, 0.524]]
}

---

{
  "formula": "TlZnSnCl5",
  "functional": "GGA-PBE",
  "state": "relaxed",
  "sg": "No. 15",
  "lattice_angstrom": [[7.651, 0.059, -0.077], [-2.177, 7.335, -0.077], [-2.370, -3.201, 9.263]],
  "species": ["Tl", "Tl", "Cl", "Cl", "Cl", "Cl", "Cl", "Cl", "Cl", "Cl", "Cl", "Cl", "Sn", "Sn", "Zn", "Zn"],
  "fractional_positions": [[0.653, 0.347, 0.750], [0.347, 0.653, 0.250], [0.746, 0.602, 0.429], [0.092, 0.668, 0.867], [0.398, 0.254, 0.071], [0.668, 0.092, 0.367], [0.602, 0.746, 0.929], [0.908, 0.332, 0.133], [0.332, 0.908, 0.633], [0.254, 0.398, 0.571], [0.093, 0.907, 0.250], [0.907, 0.093, 0.750], [0.000, 0.000, 0.500], [0.000, 0.000, 0.000], [0.316, 0.684, 0.750], [0.684, 0.316, 0.250]]
}

---

{
  "formula": "TmSnCl",
  "functional": "GGA-PBE",
  "state": "relaxed",
  "sg": "No. 11",
  "lattice_angstrom": [[-1.743, 2.989, 2.536], [-3.499, 0.852, -3.408], [-1.296, -8.941, 2.391]],
  "species": ["Tm", "Tm", "Cl", "Cl", "Sn", "Sn"],
  "fractional_positions": [[0.988, 0.581, 0.238], [0.012, 0.419, 0.762], [0.688, 0.712, 0.938], [0.312, 0.288, 0.062], [0.225, 0.193, 0.475], [0.775, 0.807, 0.525]]
}

---

{
  "formula": "USnCl6",
  "functional": "GGA-PBE",
  "state": "relaxed",
  "sg": "No. 163",
  "lattice_angstrom": [[-0.866, 1.044, 6.660], [-4.261, -4.073, -3.384], [7.539, -10.003, 2.549]],
  "species": ["Cl", "Cl", "Cl", "Cl", "Cl", "Cl", "Cl", "Cl", "Cl", "Cl", "Cl", "Cl", "U", "U", "Sn", "Sn"],
  "fractional_positions": [[0.315, 0.998, 0.620], [0.685, 0.684, 0.120], [0.998, 0.684, 0.380], [0.684, 0.998, 0.880], [0.316, 0.315, 0.380], [0.002, 0.316, 0.620], [0.002, 0.685, 0.880], [0.316, 0.002, 0.120], [0.998, 0.315, 0.120], [0.684, 0.685, 0.620], [0.685, 0.002, 0.380], [0.315, 0.316, 0.880], [0.000, 0.000, 0.500], [0.000, 0.000, 0.000], [0.333, 0.667, 0.250], [0.667, 0.333, 0.750]]
}

---

{
  "formula": "USnCl6",
  "functional": "GGA-PBE",
  "state": "relaxed",
  "sg": "No. 2",
  "lattice_angstrom": [[6.873, 0.011, 0.009], [3.432, 5.962, 0.013], [3.426, 1.982, 6.338]],
  "species": ["Cl", "Cl", "Cl", "Cl", "Cl", "Cl", "Sn", "U"],
  "fractional_positions": [[0.916, 0.609, 0.241], [0.609, 0.233, 0.242], [0.766, 0.084, 0.759], [0.391, 0.767, 0.758], [0.084, 0.391, 0.759], [0.234, 0.916, 0.241], [0.500, 0.500, 0.500], [0.000, 0.000, 0.000]]
}

---

{
  "formula": "USn2Cl8",
  "functional": "GGA-PBE",
  "state": "relaxed",
  "sg": "No. 12",
  "lattice_angstrom": [[-5.758, -3.704, -0.042], [7.845, -3.702, 1.668], [3.864, 2.421, 7.566]],
  "species": ["Cl", "Cl", "Cl", "Cl", "Cl", "Cl", "Cl", "Cl", "Sn", "Sn", "U"],
  "fractional_positions": [[0.033, 0.331, 0.943], [0.518, 0.879, 0.879], [0.967, 0.057, 0.669], [0.482, 0.121, 0.121], [0.033, 0.943, 0.331], [0.675, 0.415, 0.415], [0.967, 0.669, 0.057], [0.325, 0.585, 0.585], [0.950, 0.353, 0.353], [0.050, 0.647, 0.647], [0.000, 0.000, 0.000]]
}

---

{
  "formula": "V2SnCl",
  "functional": "GGA-PBE",
  "state": "relaxed",
  "relative_energy_ev_per_atom": 0.0772,
  "sg": "No. 122",
  "lattice_angstrom": [[4.583, 0.000, 0.000], [0.000, 4.583, 0.000], [2.291, 2.291, 7.759]],
  "species": ["Sn", "Sn", "Cl", "Cl", "V", "V", "V", "V"],
  "fractional_positions": [[0.750, 0.250, 0.500], [0.000, 0.000, 0.000], [0.500, 0.500, 0.000], [0.250, 0.750, 0.500], [0.875, 0.722, 0.750], [0.278, 0.625, 0.250], [0.375, 0.528, 0.750], [0.472, 0.125, 0.250]]
}

---

{
  "formula": "V4Sn2Cl",
  "functional": "GGA-PBE",
  "state": "relaxed",
  "sg": "No. 139",
  "lattice_angstrom": [[4.251, 0.000, 0.000], [0.000, 4.251, 0.000], [2.126, 2.126, 6.976]],
  "species": ["Sn", "Sn", "Cl", "V", "V", "V", "V"],
  "fractional_positions": [[0.356, 0.356, 0.288], [0.644, 0.644, 0.712], [0.000, 0.000, 0.000], [0.000, 0.500, 0.000], [0.500, 0.000, 0.000], [0.162, 0.162, 0.676], [0.838, 0.838, 0.324]]
}

---

{
  "formula": "VSn2Cl2",
  "functional": "GGA-PBE",
  "state": "relaxed",
  "relative_energy_ev_per_atom": 0.0000,
  "sg": "No. 127",
  "lattice_angstrom": [[-8.029, 3.182, -1.013], [-3.331, -7.458, 2.981], [0.084, 1.183, 3.054]],
  "species": ["Sn", "Sn", "Sn", "Sn", "Cl", "Cl", "Cl", "Cl", "V", "V"],
  "fractional_positions": [[0.291, 0.209, 0.500], [0.709, 0.791, 0.500], [0.791, 0.291, 0.500], [0.209, 0.709, 0.500], [0.882, 0.618, 0.000], [0.382, 0.882, 0.000], [0.118, 0.382, 0.000], [0.618, 0.118, 0.000], [0.000, 0.000, 0.000], [0.500, 0.500, 0.000]]
}

---

{
  "formula": "V3SnCl",
  "functional": "GGA-PBE",
  "state": "relaxed",
  "relative_energy_ev_per_atom": 0.0000,
  "sg": "No. 221",
  "lattice_angstrom": [[-2.980, -0.771, -3.009], [2.058, -3.614, -1.112], [-2.327, -2.208, 2.870]],
  "species": ["Cl", "Sn", "V", "V", "V"],
  "fractional_positions": [[0.000, 0.000, 0.000], [0.500, 0.500, 0.500], [0.500, 0.000, 0.000], [0.000, 0.500, 0.000], [0.000, 0.000, 0.500]]
}

---

{
  "formula": "VSnCl4",
  "functional": "GGA-PBE",
  "state": "relaxed",
  "sg": "No. 12",
  "lattice_angstrom": [[3.800, 0.000, 0.707], [1.750, 8.315, 1.160], [-0.021, -0.040, 10.677]],
  "species": ["Cl", "Cl", "Cl", "Cl", "Cl", "Cl", "Cl", "Cl", "V", "V", "Sn", "Sn"],
  "fractional_positions": [[0.453, 0.940, 0.654], [0.954, 0.440, 0.154], [0.668, 0.213, 0.951], [0.332, 0.787, 0.049], [0.167, 0.713, 0.451], [0.833, 0.287, 0.549], [0.547, 0.060, 0.346], [0.046, 0.560, 0.846], [0.500, 0.500, 0.000], [0.000, 0.000, 0.500], [0.250, 0.250, 0.750], [0.750, 0.750, 0.250]]
}

---

{
  "formula": "VSn2Cl6",
  "functional": "GGA-PBE",
  "state": "relaxed",
  "sg": "No. 14",
  "lattice_angstrom": [[6.724, 0.000, -0.443], [0.000, 7.997, 0.000], [0.659, 0.000, 9.441]],
  "species": ["Cl", "Cl", "Cl", "Cl", "Cl", "Cl", "Cl", "Cl", "Cl", "Cl", "Cl", "Cl", "Sn", "Sn", "Sn", "Sn", "V", "V"],
  "fractional_positions": [[0.811, 0.661, 0.032], [0.916, 0.961, 0.752], [0.416, 0.539, 0.252], [0.689, 0.161, 0.468], [0.323, 0.762, 0.940], [0.189, 0.339, 0.968], [0.311, 0.839, 0.532], [0.677, 0.238, 0.060], [0.584, 0.461, 0.748], [0.084, 0.039, 0.248], [0.823, 0.738, 0.440], [0.177, 0.262, 0.560], [0.526, 0.853, 0.292], [0.974, 0.353, 0.208], [0.474, 0.147, 0.708], [0.026, 0.647, 0.792], [0.000, 0.000, 0.500], [0.500, 0.500, 0.000]]
}

---

{
  "formula": "V2SnCl6",
  "functional": "GGA-PBE",
  "state": "relaxed",
  "relative_energy_ev_per_atom": 0.0000,
  "sg": "No. 12",
  "lattice_angstrom": [[-0.850, -1.912, -3.150], [5.778, -3.405, 2.777], [-7.869, -3.731, 4.387]],
  "species": ["Sn", "Cl", "Cl", "Cl", "Cl", "Cl", "Cl", "V", "V"],
  "fractional_positions": [[0.000, 0.000, 0.500], [0.341, 0.683, 0.417], [0.951, 0.902, 0.192], [0.659, 0.317, 0.583], [0.703, 0.405, 0.109], [0.049, 0.098, 0.808], [0.297, 0.595, 0.891], [0.673, 0.346, 0.844], [0.327, 0.654, 0.156]]
}

---

{
  "formula": "V3SnCl",
  "functional": "GGA-PBE",
  "state": "relaxed",
  "relative_energy_ev_per_atom": 0.9454,
  "sg": "No. 221",
  "lattice_angstrom": [[-4.703, 0.704, 2.129], [1.840, -1.617, 4.599], [1.283, 4.902, 1.211]],
  "species": ["V", "V", "V", "Cl", "Sn"],
  "fractional_positions": [[0.000, 0.000, 0.500], [0.500, 0.000, 0.000], [0.000, 0.500, 0.000], [0.500, 0.500, 0.500], [0.000, 0.000, 0.000]]
}

---

{
  "formula": "V3SnCl8",
  "functional": "GGA-PBE",
  "state": "relaxed",
  "sg": "No. 12",
  "lattice_angstrom": [[-2.086, -6.461, -3.418], [4.841, -0.189, 5.855], [-7.446, 1.772, 1.195]],
  "species": ["Cl", "Cl", "Cl", "Cl", "Cl", "Cl", "Cl", "Cl", "V", "V", "V", "Sn"],
  "fractional_positions": [[0.259, 0.965, 0.221], [0.736, 0.473, 0.205], [0.259, 0.519, 0.221], [0.294, 0.035, 0.779], [0.741, 0.481, 0.779], [0.706, 0.965, 0.221], [0.741, 0.035, 0.779], [0.264, 0.527, 0.795], [0.500, 0.000, 0.000], [0.500, 0.500, 0.000], [0.000, 0.500, 0.000], [0.000, 0.000, 0.000]]
}

---

{
  "formula": "VSnCl5",
  "functional": "GGA-PBE",
  "state": "relaxed",
  "sg": "No. 15",
  "lattice_angstrom": [[6.567, -0.163, -1.864], [-1.319, 6.435, -1.864], [-0.246, -0.294, 9.369]],
  "species": ["Cl", "Cl", "Cl", "Cl", "Cl", "Cl", "Cl", "Cl", "Cl", "Cl", "V", "V", "Sn", "Sn"],
  "fractional_positions": [[0.788, 0.238, 0.946], [0.214, 0.286, 0.250], [0.788, 0.875, 0.127], [0.262, 0.712, 0.554], [0.625, 0.712, 0.373], [0.375, 0.288, 0.627], [0.212, 0.762, 0.054], [0.738, 0.288, 0.446], [0.786, 0.714, 0.750], [0.212, 0.125, 0.873], [0.000, 0.000, 0.000], [0.500, 0.500, 0.500], [0.080, 0.420, 0.750], [0.920, 0.580, 0.250]]
}

---

{
  "formula": "V2SnCl",
  "functional": "GGA-PBE",
  "state": "relaxed",
  "relative_energy_ev_per_atom": 0.0000,
  "sg": "No. 225",
  "lattice_angstrom": [[-0.318, -3.321, -3.123], [-3.950, -2.225, -0.575], [-2.462, 0.658, -3.793]],
  "species": ["V", "V", "Sn", "Cl"],
  "fractional_positions": [[0.750, 0.750, 0.750], [0.250, 0.250, 0.250], [0.500, 0.500, 0.500], [0.000, 0.000, 0.000]]
}

---

Number 1: total magnetic moment 2.0 μB/f.u., V 30.31 Å³/atom, uncorrected formation energy -1054 meV per atom. Number 2: total magnetic moment 2.0 μB/f.u., V 31.27 Å³/atom, uncorrected formation energy -1115 meV per atom. Number 3: total magnetic moment 0.0 μB/f.u., V 34.67 Å³/atom, uncorrected formation energy -1601 meV per atom. Number 4: total magnetic moment 0.0 μB/f.u., V 34.22 Å³/atom, uncorrected formation energy -1064 meV per atom. Number 5: total magnetic moment 0.0 μB/f.u., V 32.33 Å³/atom, uncorrected formation energy -1065 meV per atom. Number 6: total magnetic moment 0.0 μB/f.u., V 28.32 Å³/atom, uncorrected formation energy -1125 meV per atom. Number 7: total magnetic moment 2.0 μB/f.u., V 31.96 Å³/atom, uncorrected formation energy -1438 meV per atom. Number 8: total magnetic moment 2.0 μB/f.u., V 32.40 Å³/atom, uncorrected formation energy -1440 meV per atom. Number 9: total magnetic moment 2.0 μB/f.u., V 34.46 Å³/atom, uncorrected formation energy -1322 meV per atom. Number 10: total magnetic moment 1.5 μB/f.u., V 20.37 Å³/atom, uncorrected formation energy 536 meV per atom. Number 11: total magnetic moment 2.4 μB/f.u., V 18.01 Å³/atom, uncorrected formation energy 380 meV per atom. Number 12: total magnetic moment 3.1 μB/f.u., V 24.77 Å³/atom, uncorrected formation energy 203 meV per atom. Number 13: total magnetic moment 0.0 μB/f.u., V 15.95 Å³/atom, uncorrected formation energy 344 meV per atom. Number 14: total magnetic moment 3.0 μB/f.u., V 28.14 Å³/atom, uncorrected formation energy -1022 meV per atom. Number 15: total magnetic moment 3.0 μB/f.u., V 28.33 Å³/atom, uncorrected formation energy -1055 meV per atom. Number 16: total magnetic moment 6.0 μB/f.u., V 27.38 Å³/atom, uncorrected formation energy -1056 meV per atom. Number 17: total magnetic moment 10.0 μB/f.u., V 28.29 Å³/atom, uncorrected formation energy 1289 meV per atom. Number 18: total magnetic moment 9.0 μB/f.u., V 26.39 Å³/atom, uncorrected formation energy -1060 meV per atom. Number 19: total magnetic moment 2.0 μB/f.u., V 27.61 Å³/atom, uncorrected formation energy -1057 meV per atom. Number 20: total magnetic moment 1.2 μB/f.u., V 16.87 Å³/atom, uncorrected formation energy 459 meV per atom.